Record 1
PuHf2Pd | PBE-GGA | relaxed

Summary:
DFT total energy: -0.37193 hartree per atom
Formation enthalpy at 0 K: -0.2628 eV/atom

Geometry as CIF:
```
data_PuHf2Pd
_chemical_formula_sum 'Pu1 Hf2 Pd1'
_cell_length_a 3.3001
_cell_length_b 3.3001
_cell_length_c 7.5769
_cell_angle_alpha 90.00
_cell_angle_beta 90.00
_cell_angle_gamma 90.00
_symmetry_space_group_name_H-M 'P 4/m m m'
_symmetry_Int_Tables_number 123
_symmetry_space_group_name_Hall '-P 4 2'
loop_
_atom_site_label
_atom_site_fract_x
_atom_site_fract_y
_atom_site_fract_z
Pu1 0.0000 0.0000 0.0000
Hf1 0.5000 0.5000 0.2789
Pd1 0.0000 0.0000 0.5000
```

=====

Record 2
Pm6PrGa2 | PBE-GGA | relaxed

Summary:
DFT total energy: -0.16922 hartree per atom
Formation enthalpy at 0 K: -0.2339 eV/atom

Geometry as CIF:
```
data_Pm6PrGa2
_chemical_formula_sum 'Pm12 Pr2 Ga4'
_cell_length_a 12.7763
_cell_length_b 3.7922
_cell_length_c 12.1178
_cell_angle_alpha 90.00
_cell_angle_beta 110.00
_cell_angle_gamma 90.00
_symmetry_space_group_name_H-M 'C 1 2/m 1'
_symmetry_Int_Tables_number 12
_symmetry_space_group_name_Hall '-C 2y'
loop_
_atom_site_label
_atom_site_fract_x
_atom_site_fract_y
_atom_site_fract_z
Pm1 0.0244 0.0000 0.3237
Pm2 0.1867 0.5000 0.5875
Pm3 0.1927 0.5000 0.8733
Pr1 0.0000 0.0000 0.0000
Ga1 0.1506 0.5000 0.2077
```

=====

Record 3
CrPBr2 | PBE-GGA | relaxed

Summary:
DFT total energy: -0.17151 hartree per atom
Raw formation energy: -0.0722 eV per atom

Geometry as CIF:
```
data_CrPBr2
_chemical_formula_sum 'Cr2 P2 Br4'
_cell_length_a 15.9849
_cell_length_b 3.3962
_cell_length_c 3.7106
_cell_angle_alpha 90.00
_cell_angle_beta 92.22
_cell_angle_gamma 90.00
_symmetry_space_group_name_H-M 'C 1 2/m 1'
_symmetry_Int_Tables_number 12
_symmetry_space_group_name_Hall '-C 2y'
loop_
_atom_site_label
_atom_site_fract_x
_atom_site_fract_y
_atom_site_fract_z
Cr1 0.0000 0.0000 0.0000
P1 0.0000 0.5000 0.5000
Br1 0.1400 0.5000 0.2191
```

=====

Record 4
SnBRh3 | PBE-GGA | relaxed

Summary:
DFT total energy: -0.24431 hartree per atom
Formation enthalpy at 0 K: -0.1012 eV/atom

Geometry as CIF:
```
data_SnBRh3
_chemical_formula_sum 'Sn2 B2 Rh6'
_cell_length_a 4.3381
_cell_length_b 4.3381
_cell_length_c 8.5778
_cell_angle_alpha 90.00
_cell_angle_beta 90.00
_cell_angle_gamma 120.00
_symmetry_space_group_name_H-M 'P 63/m m c'
_symmetry_Int_Tables_number 194
_symmetry_space_group_name_Hall '-P 6c 2c'
loop_
_atom_site_label
_atom_site_fract_x
_atom_site_fract_y
_atom_site_fract_z
Sn1 0.3333 0.6667 0.2500
B1 0.0000 0.0000 0.0000
Rh1 0.0000 0.0000 0.2500
Rh2 0.3333 0.6667 0.5707
```